Model one:
Material: CaTeAuSe
Method: DFT, PBE
State: optimized geometry

Cell lengths 4.4871, 4.4871, 6.8768 Å; angles 90.00, 90.00, 120.00 degrees
Positions (direct):
Ca  0.0000  0.0000  0.0000
Te  0.6667  0.3333  0.6812
Au  0.3333  0.6667  0.5464
Se  0.3333  0.6667  0.1720

Output
The value obtained for the magnetization is 0.0 μB/f.u. Its density is 6.14 g cm⁻³.



Model two:
Material: CaTeAuSe
Method: DFT, PBE
State: optimized geometry

Cell lengths 4.4031, 4.8334, 6.6916 Å; angles 105.10, 99.32, 111.56 degrees
Positions (direct):
Ca  0.0000  0.0000  0.0000
Te  0.4666  0.7450  0.2826
Au  0.1070  0.0143  0.5169
Se  0.5887  0.3114  0.8560

Output
The value obtained for the magnetization is 0.0 μB/f.u. Its density is 6.01 g cm⁻³.



Most stable structure, least stable structure: model two, model one.



Model one:
Material: Ca2Sn3Au2
Method: DFT, PBE
State: optimized geometry

Cell lengths 10.6750, 10.6750, 7.4491 Å; angles 90.00, 90.00, 154.71 degrees
Positions (direct):
Ca  0.0486  0.9514  0.7500
Ca  0.1625  0.8375  0.2500
Ca  0.8375  0.1625  0.7500
Ca  0.9514  0.0486  0.2500
Sn  0.2208  0.7792  0.7500
Sn  0.4344  0.5656  0.5587
Sn  0.4344  0.5656  0.9413
Sn  0.5656  0.4344  0.0587
Sn  0.5656  0.4344  0.4413
Sn  0.7792  0.2208  0.2500
Au  0.3076  0.6924  0.0470
Au  0.3076  0.6924  0.4530
Au  0.6924  0.3076  0.5470
Au  0.6924  0.3076  0.9530

Output
The value obtained for the magnetization is 0.0 μB/f.u. Its density is 7.60 g cm⁻³.



Model two:
Material: Ca2Sn3Au2
Method: DFT, PBE
State: optimized geometry

Cell lengths 5.8435, 5.8435, 7.8998 Å; angles 107.69, 107.69, 44.60 degrees
Positions (direct):
Ca  0.1468  0.1468  0.3066
Ca  0.8532  0.8532  0.6934
Sn  0.3768  0.3768  0.0528
Sn  0.5000  0.5000  0.5000
Sn  0.6232  0.6232  0.9472
Au  0.1597  0.1597  0.7260
Au  0.8403  0.8403  0.2740

Output
The value obtained for the magnetization is 0.0 μB/f.u. Its density is 7.71 g cm⁻³.



Most stable structure, least stable structure: model two, model one.



Model one:
Material: CaSn2Au6
Method: DFT, PBE
State: optimized geometry

Cell lengths 8.3988, 8.3988, 7.5902 Å; angles 105.20, 105.20, 118.02 degrees
Positions (direct):
Ca  0.2503  0.7497  0.7500
Ca  0.7497  0.2503  0.2500
Sn  0.1554  0.3444  0.9998
Sn  0.3444  0.1554  0.4998
Sn  0.6556  0.8446  0.5002
Sn  0.8446  0.6556  0.0002
Au  0.0392  0.1951  0.5593
Au  0.0920  0.5919  0.2643
Au  0.1951  0.0392  0.0593
Au  0.3048  0.4604  0.4401
Au  0.4081  0.9080  0.2357
Au  0.4604  0.3048  0.9401
Au  0.5396  0.6952  0.0599
Au  0.5919  0.0920  0.7643
Au  0.6952  0.5396  0.5599
Au  0.8049  0.9608  0.9407
Au  0.9080  0.4081  0.7357
Au  0.9608  0.8049  0.4407

Output
The value obtained for the magnetization is 0.0 μB/f.u. Its density is 11.91 g cm⁻³.



Model two:
Material: CaSn2Au6
Method: DFT, PBE
State: optimized geometry

Cell lengths 8.2049, 8.2049, 8.2049 Å; angles 154.61, 121.69, 64.61 degrees
Positions (direct):
Ca  0.0000  0.0000  0.0000
Sn  0.3534  0.8534  0.5000
Sn  0.6466  0.1466  0.5000
Au  0.0018  0.6764  0.3255
Au  0.3226  0.5000  0.8226
Au  0.3509  0.6764  0.6745
Au  0.6491  0.3236  0.3255
Au  0.6774  0.5000  0.1774
Au  0.9982  0.3236  0.6745

Output
The value obtained for the magnetization is 0.0 μB/f.u. Its density is 12.12 g cm⁻³.



Most stable structure, least stable structure: model one, model two.



Model one:
Material: Ca4SnAu3
Method: DFT, PBE
State: optimized geometry

Cell lengths 9.0714, 9.0714, 9.0714 Å; angles 33.37, 33.37, 33.37 degrees
Positions (direct):
Ca  0.1213  0.1213  0.1213
Ca  0.3723  0.3723  0.3723
Ca  0.6277  0.6277  0.6277
Ca  0.8787  0.8787  0.8787
Sn  0.5000  0.5000  0.5000
Au  0.0000  0.0000  0.0000
Au  0.2482  0.2482  0.2482
Au  0.7518  0.7518  0.7518

Output
The value obtained for the magnetization is 0.0 μB/f.u. Its density is 7.18 g cm⁻³.



Model two:
Material: Ca4SnAu3
Method: DFT, PBE
State: optimized geometry

Cell lengths 3.9092, 4.7767, 11.3907 Å; angles 90.00, 90.00, 90.00 degrees
Positions (direct):
Ca  0.0000  0.0000  0.0000
Ca  0.0000  0.5000  0.2734
Ca  0.5000  0.0000  0.4818
Ca  0.5000  0.5000  0.7782
Sn  0.0000  0.0000  0.7117
Au  0.0000  0.5000  0.5485
Au  0.5000  0.0000  0.2119
Au  0.5000  0.5000  0.0545

Output
The value obtained for the magnetization is 0.0 μB/f.u. Its density is 6.79 g cm⁻³.



Most stable structure, least stable structure: model one, model two.